Here is a relaxed Er12Bi3C5 crystal from the Alexandria database. Energies are from PBE.

For the mass density, the calculation gives 9.1 Mg/m³. As for the size of the total moment: 0.00 Bohr magnetons per cell. The calculation puts the final energy at -5.934 eV per atom. The formation energy comes out at -0.309 eV/atom.

The space group is Ia-3d (No. 230) and the conventional cell measures 15.802, 15.802 and 15.802 Å, with angles of 90.00, 90.00 and 90.00 degrees. Symmetry generates all atoms from Er at (0.038, 0.049, 0.647), Bi at (0.000, 0.250, 0.125), C at (0.000, 0.000, 0.000) and C at (0.000, 0.250, 0.375).